A plane-wave DFT calculation with GGA-PBE was carried out for crystalline Mg2Pb2S at its relaxed geometry.

Unit cell a=6.879 b=6.879 c=5.356 alpha=90.00 beta=90.00 gamma=90.00
Atoms (fractional coordinates):
Pb  0.162  0.662  0.500
Pb  0.662  0.838  0.500
Pb  0.838  0.338  0.500
Pb  0.338  0.162  0.500
S  0.000  0.000  0.000
S  0.500  0.500  0.000
Mg  0.341  0.841  0.000
Mg  0.841  0.659  0.000
Mg  0.659  0.159  0.000
Mg  0.159  0.341  0.000

Results
symmetry	P4/mbm (127)
DOS at the Fermi energy	3.14	states/eV/f.u.
total magnetization	0.0	μB/f.u.
electronic total energy	-31.6	eV/cell